Entry from the Alexandria database: a relaxed structure of Rb6HI2O (GGA-PBE).

Computed properties:
Energy   -2.600 eV per atom
ρ   2.93 g cm⁻³
Calculated volume   44.38 Å³/atom

a b c (Å): 8.2697 8.2697 7.4936
angles (deg): 90.00 90.00 120.00
Last column: nearest neighbours and their distance in Å.
Atoms (fractional coordinates):
Rb1 0.1513 0.3026 0.2751  1 O 2.75, 1 H 2.99
Rb2 0.1513 0.8487 0.2751  1 O 2.75, 1 H 2.99
Rb3 0.3026 0.1513 0.7249  1 O 2.75, 1 H 2.99
Rb4 0.6974 0.8487 0.2751  1 O 2.75, 1 H 2.99
Rb5 0.8487 0.1513 0.7249  1 O 2.75, 1 H 2.99
Rb6 0.8487 0.6974 0.7249  1 O 2.75, 1 H 2.99
H1 0.0000 0.0000 0.0000  6 Rb 2.99
I1 0.3333 0.6667 0.6581  9 Rb 3.88-4.17
I2 0.6667 0.3333 0.3419  9 Rb 3.88-4.17
O1 0.0000 0.0000 0.5000  6 Rb 2.75